# 1
# Sm2Er3Tm7 | the Alexandria database | PBE | relaxed
# Density ... 8.8 Mg/m³
# Formation energy from the elements ... 0.117 eV per atom
data_Sm2Er3Tm7
_chemical_formula_sum 'Sm4 Er6 Tm14'
_symmetry_space_group_name_H-M 'C m m m'
_symmetry_Int_Tables_number 65
_symmetry_space_group_name_Hall '-C 2 2'
_cell_length_a 5.610
_cell_length_b 37.220
_cell_length_c 3.574
_cell_angle_alpha 90.00
_cell_angle_beta 90.00
_cell_angle_gamma 90.00
loop_
_atom_site_label
_atom_site_fract_x
_atom_site_fract_y
_atom_site_fract_z
Sm1 0.000 0.147 0.000
Er1 0.000 0.314 0.500
Er2 0.000 0.500 0.500
Tm1 0.000 0.000 0.000
Tm2 0.000 0.071 0.500
Tm3 0.000 0.231 0.000
Tm4 0.000 0.411 0.000

***

# 2
# Sm4ErTm6 | the Alexandria database | PBE | relaxed
# Density ... 8.2 Mg/m³
# Formation energy from the elements ... 0.171 eV per atom
data_Sm4ErTm6
_chemical_formula_sum 'Sm4 Er1 Tm6'
_symmetry_space_group_name_H-M 'P -6 m 2'
_symmetry_Int_Tables_number 187
_symmetry_space_group_name_Hall 'P -6 2'
_cell_length_a 10.9011
_cell_length_b 10.9011
_cell_length_c 3.5275
_cell_angle_alpha 90.00
_cell_angle_beta 90.00
_cell_angle_gamma 120.00
loop_
_atom_site_label
_atom_site_fract_x
_atom_site_fract_y
_atom_site_fract_z
Sm1 0.0000 0.0000 0.0000
Sm2 0.0006 0.5003 0.5000
Er1 0.6667 0.3333 0.0000
Tm1 0.1740 0.3481 0.0000
Tm2 0.3079 0.1539 0.5000

***

# 3
# SmEr12Tm7 | the Alexandria database | PBE | relaxed
# Density ... 8.9 Mg/m³
# Formation energy from the elements ... 0.317 eV per atom
data_SmEr12Tm7
_chemical_formula_sum 'Sm3 Er36 Tm21'
_symmetry_space_group_name_H-M 'R -3'
_symmetry_Int_Tables_number 148
_symmetry_space_group_name_Hall '-R 3'
_cell_length_a 12.6684
_cell_length_b 12.6684
_cell_length_c 13.4635
_cell_angle_alpha 90.00
_cell_angle_beta 90.00
_cell_angle_gamma 120.00
loop_
_atom_site_label
_atom_site_fract_x
_atom_site_fract_y
_atom_site_fract_z
Sm1 0.0000 0.0000 0.0000
Er1 0.0039 0.4373 0.2460
Er2 0.0683 0.1982 0.3437
Tm1 0.0000 0.0000 0.5000
Tm2 0.0683 0.8659 0.8529

***

# 4
# Sm3Er7Tm2 | the Alexandria database | PBE | relaxed
# Density ... 8.6 Mg/m³
# Formation energy from the elements ... 0.091 eV per atom
data_Sm3Er7Tm2
_chemical_formula_sum 'Sm3 Er7 Tm2'
_symmetry_space_group_name_H-M 'P 1 2/m 1'
_symmetry_Int_Tables_number 10
_symmetry_space_group_name_Hall '-P 2y'
_cell_length_a 5.768
_cell_length_b 3.533
_cell_length_c 18.606
_cell_angle_alpha 90.00
_cell_angle_beta 93.13
_cell_angle_gamma 90.00
loop_
_atom_site_label
_atom_site_fract_x
_atom_site_fract_y
_atom_site_fract_z
Sm1 0.000 0.000 0.000
Sm2 0.277 0.500 0.633
Er1 0.190 0.500 0.144
Er2 0.243 0.000 0.463
Er3 0.307 0.000 0.823
Er4 0.500 0.500 0.000
Tm1 0.211 0.000 0.293

***

# 5
# Sm4Er4Tm3 | the Alexandria database | PBE | relaxed
# Density ... 8.5 Mg/m³
# Formation energy from the elements ... 0.067 eV per atom
data_Sm4Er4Tm3
_chemical_formula_sum 'Sm8 Er8 Tm6'
_symmetry_space_group_name_H-M 'I m m m'
_symmetry_Int_Tables_number 71
_symmetry_space_group_name_Hall '-I 2 2'
_cell_length_a 3.501
_cell_length_b 5.602
_cell_length_c 35.291
_cell_angle_alpha 90.00
_cell_angle_beta 90.00
_cell_angle_gamma 90.00
loop_
_atom_site_label
_atom_site_fract_x
_atom_site_fract_y
_atom_site_fract_z
Sm1 0.000 0.000 0.090
Sm2 0.000 0.500 0.232
Er1 0.000 0.000 0.180
Er2 0.000 0.500 0.046
Tm1 0.000 0.000 0.364
Tm2 0.000 0.500 0.500

***

# 6
# SmErTm5 | the Alexandria database | PBE | relaxed
# Density ... 6.8 Mg/m³
# Formation energy from the elements ... 1.026 eV per atom
data_SmErTm5
_chemical_formula_sum 'Sm2 Er2 Tm10'
_symmetry_space_group_name_H-M 'I m m 2'
_symmetry_Int_Tables_number 44
_symmetry_space_group_name_Hall 'I 2 -2'
_cell_length_a 7.956
_cell_length_b 11.635
_cell_length_c 6.100
_cell_angle_alpha 90.00
_cell_angle_beta 90.00
_cell_angle_gamma 90.00
loop_
_atom_site_label
_atom_site_fract_x
_atom_site_fract_y
_atom_site_fract_z
Sm1 0.000 0.000 0.000
Er1 0.000 0.500 0.261
Tm1 0.000 0.000 0.525
Tm2 0.000 0.243 0.269
Tm3 0.179 0.500 0.764

***

# 7
# Sm3ErTm7 | the Alexandria database | PBE | relaxed
# Density ... 8.5 Mg/m³
# Formation energy from the elements ... 0.160 eV per atom
data_Sm3ErTm7
_chemical_formula_sum 'Sm3 Er1 Tm7'
_symmetry_space_group_name_H-M 'P 1 2/m 1'
_symmetry_Int_Tables_number 10
_symmetry_space_group_name_Hall '-P 2y'
_cell_length_a 6.874
_cell_length_b 5.450
_cell_length_c 9.891
_cell_angle_alpha 90.00
_cell_angle_beta 109.06
_cell_angle_gamma 90.00
loop_
_atom_site_label
_atom_site_fract_x
_atom_site_fract_y
_atom_site_fract_z
Sm1 0.000 0.000 0.000
Sm2 0.279 0.500 0.494
Er1 0.500 0.000 0.000
Tm1 0.000 0.000 0.500
Tm2 0.152 0.500 0.789
Tm3 0.319 0.500 0.137
Tm4 0.428 0.000 0.330

***

# 8
# Sm4Er5Tm | the Alexandria database | PBE | relaxed
# Density ... 8.1 Mg/m³
# Formation energy from the elements ... 0.248 eV per atom
data_Sm4Er5Tm
_chemical_formula_sum 'Sm8 Er10 Tm2'
_symmetry_space_group_name_H-M 'I 4 m m'
_symmetry_Int_Tables_number 107
_symmetry_space_group_name_Hall 'I 4 -2'
_cell_length_a 10.619
_cell_length_b 10.619
_cell_length_c 5.874
_cell_angle_alpha 90.00
_cell_angle_beta 90.00
_cell_angle_gamma 90.00
loop_
_atom_site_label
_atom_site_fract_x
_atom_site_fract_y
_atom_site_fract_z
Sm1 0.000 0.323 0.000
Er1 0.000 0.000 0.240
Er2 0.189 0.189 0.502
Tm1 0.000 0.000 0.763

***

It is found that the spin magnetization values, taken in the order of the records, are 0.0; 0.0; 0.0; 0.0; 0.0; 0.0; 0.0; 0.0 μB/cell.